Computed, not measured: a geometry-optimized CoSn3Sb structure at the PBE level of DFT.

Computed properties:
* energy relative to the lowest polymorph listed for this composition: 101 meV per atom
* crystal system: monoclinic
* spin magnetization: 0.00 μB per formula unit
* formation energy without anion corrections: 0.12 eV per atom
* electronic total energy: -4.53 eV/atom

a b c (Å): 4.8436 9.9170 5.2270
angles (deg): 90.00 90.04 90.00
Last column: nearest neighbours and their distance in Å.
Fractional coordinates of all 10 atoms:
Co1 0.2477 0.2500 0.1598  2 Sb 2.45, 4 Sn 2.60-2.63
Co2 0.7523 0.7500 0.8402  2 Sb 2.45, 4 Sn 2.60-2.63
Sn1 0.2462 0.2500 0.6631  2 Co 2.60-2.63
Sn2 0.2506 0.5010 0.3114  1 Co 2.61
Sn3 0.2506 0.9990 0.3114  1 Co 2.61
Sn4 0.7494 0.0010 0.6886  1 Co 2.61
Sn5 0.7494 0.4990 0.6886  1 Co 2.61
Sn6 0.7538 0.7500 0.3369  2 Co 2.60-2.63
Sb1 0.2526 0.7500 0.9156  2 Co 2.45
Sb2 0.7474 0.2500 0.0844  2 Co 2.45